1.
Y2Hg5Bi: optimized geometry, GGA-PBE.

Properties
formation enthalpy at 0 K = -0.384 eV/atom
Fermi-level density of states = 0.499 states/eV per atom
magnetic moment = 0.00 μB/atom

Unit cell a=4.458 b=6.732 c=13.479 alpha=90.00 beta=90.00 gamma=90.00
Fractional coordinates of all 16 atoms:
Hg (0.000, 0.500, 0.500)
Y (0.500, 0.230, 0.620)
Bi (0.000, 0.000, 0.500)
Hg (0.500, 0.283, 0.364)
Hg (0.500, 0.717, 0.636)
Hg (0.000, 0.038, 0.245)
Hg (0.500, 0.783, 0.136)
Hg (0.500, 0.217, 0.864)
Hg (0.000, 0.538, 0.255)
Y (0.500, 0.770, 0.380)
Hg (0.000, 0.962, 0.755)
Hg (0.000, 0.000, 0.000)
Hg (0.000, 0.462, 0.745)
Y (0.500, 0.730, 0.880)
Bi (0.000, 0.500, 0.000)
Y (0.500, 0.270, 0.120)

=====

2.
YHg2Bi: optimized geometry, GGA-PBE.

Properties
formation enthalpy at 0 K = 0.108 eV/atom
Fermi-level density of states = 0.620 states/eV per atom
magnetic moment = 0.00 μB/atom

Unit cell a=3.478 b=3.478 c=11.802 alpha=81.53 beta=81.53 gamma=60.00
Fractional coordinates of all 4 atoms:
Hg (0.913, 0.913, 0.261)
Y (0.000, 0.000, 0.000)
Hg (0.087, 0.087, 0.739)
Bi (0.500, 0.500, 0.500)

=====

3.
Y6Hg5Bi: optimized geometry, GGA-PBE.

Properties
formation enthalpy at 0 K = -0.529 eV/atom
Fermi-level density of states = 1.066 states/eV per atom
magnetic moment = 0.09 μB/atom

Unit cell a=5.322 b=7.447 c=9.201 alpha=113.87 beta=106.63 gamma=90.00
Site moments in Bohr magnetons follow the coordinates.
Fractional coordinates of all 12 atoms:
Y (0.169, 0.917, 0.337)  0.09
Hg (0.668, 0.667, 0.334)  0.01
Y (0.831, 0.579, 0.663)  0.09
Bi (0.000, 0.000, 0.000)  -0.01
Y (0.500, 0.255, 0.000)  0.11
Y (0.831, 0.083, 0.663)  0.09
Hg (0.673, 0.174, 0.347)  0.01
Hg (0.332, 0.333, 0.666)  0.01
Y (0.500, 0.745, 0.000)  0.11
Hg (0.000, 0.500, 0.000)  0.01
Hg (0.327, 0.826, 0.653)  0.01
Y (0.169, 0.421, 0.337)  0.09

=====

4.
Y2HgBi2: optimized geometry, GGA-PBE.

Properties
ΔE to the lowest computed polymorph = 0.00 eV/f.u.
formation enthalpy at 0 K = -0.611 eV/atom
Fermi-level density of states = 0.125 states/eV per atom
magnetic moment = 0.00 μB/atom

Unit cell a=8.492 b=8.492 c=4.156 alpha=90.00 beta=90.00 gamma=90.00
Fractional coordinates of all 10 atoms:
Y (0.851, 0.649, 0.000)
Y (0.351, 0.851, 0.000)
Bi (0.656, 0.844, 0.500)
Hg (0.500, 0.500, 0.000)
Y (0.149, 0.351, 0.000)
Bi (0.344, 0.156, 0.500)
Hg (0.000, 0.000, 0.000)
Bi (0.844, 0.344, 0.500)
Y (0.649, 0.149, 0.000)
Bi (0.156, 0.656, 0.500)

=====

5.
YHgBi: optimized geometry, GGA-PBE.

Properties
ΔE to the lowest computed polymorph = 0.35 eV/f.u.
formation enthalpy at 0 K = -0.339 eV/atom
Fermi-level density of states = 0.324 states/eV per atom
magnetic moment = 0.00 μB/atom

Unit cell a=6.982 b=7.155 c=7.700 alpha=89.96 beta=90.00 gamma=90.00
Fractional coordinates of all 12 atoms:
Y (0.502, 0.250, 0.733)
Bi (0.750, 0.000, 0.001)
Y (0.002, 0.250, 0.267)
Hg (0.249, 0.500, 0.501)
Y (0.998, 0.750, 0.733)
Bi (0.250, 0.500, 0.999)
Hg (0.749, 0.000, 0.499)
Y (0.498, 0.750, 0.267)
Bi (0.750, 0.500, 0.001)
Hg (0.751, 0.500, 0.499)
Hg (0.251, 0.000, 0.501)
Bi (0.250, 0.000, 0.999)

=====

6.
Y2HgBi2: optimized geometry, GGA-PBE.

Properties
ΔE to the lowest computed polymorph = 1.45 eV/f.u.
formation enthalpy at 0 K = -0.322 eV/atom
Fermi-level density of states = 0.516 states/eV per atom
magnetic moment = 0.00 μB/atom

Unit cell a=5.535 b=5.535 c=7.258 alpha=67.59 beta=67.59 gamma=90.00
Fractional coordinates of all 5 atoms:
Hg (0.000, 0.000, 0.000)
Y (0.750, 0.250, 0.500)
Bi (0.365, 0.365, 0.271)
Bi (0.635, 0.635, 0.729)
Y (0.250, 0.750, 0.500)

=====

Q: Which of these has the lowest formation enthalpy at 0 K?
A: number 4

=====

Q: Look up the formation enthalpy at 0 K of the third one.
A: -0.529 eV/atom

=====

Q: The lowest formation enthalpy at 0 K belongs to which entry?
A: number 4

=====

Q: Which value of magnetic moment does entry 4 give?
A: 0.00 μB/atom